[1]
Below is a geometry-optimized Rb5HgPtO2 structure, with properties calculated at the GGA-PBE level.

The formation energy from raw total energies comes out at -15.12 kcal/mol of atoms. Its density of states at the Fermi level is 10.19 states/eV per cell.

It has space group P4/mmm (No. 123), with a = 5.811 Å, b = 5.811 Å, c = 9.674 Å, α = 90.00°, β = 90.00° and γ = 90.00°. The asymmetric unit holds Rb at (0.000, 0.000, 0.000), Rb at (0.000, 0.500, 0.293), Hg at (0.500, 0.500, 0.000), Pt at (0.000, 0.000, 0.500) and O at (0.000, 0.000, 0.295).

[2]
Below is a geometry-optimized MnCuHgTe2 structure, with properties calculated at the GGA-PBE level.

The formation energy from raw total energies comes out at 15.74 kcal/mol of atoms. Its density of states at the Fermi level is 7.07 states/eV per cell.

It has space group P4/mmm (No. 123), with a = 4.945 Å, b = 4.945 Å, c = 5.162 Å, α = 90.00°, β = 90.00° and γ = 90.00°. The asymmetric unit holds Mn at (0.000, 0.000, 0.000), Cu at (0.500, 0.500, 0.500), Hg at (0.000, 0.000, 0.500) and Te at (0.000, 0.500, 0.000).

[3]
Below is a geometry-optimized LaPuRh4 structure, with properties calculated at the GGA-PBE level.

Its density of states at the Fermi level is 55.92 states/eV per cell. The calculation puts the formation energy at -55 kJ per mole of atoms.

It has space group F-43m (No. 216), with a = 7.629 Å, b = 7.629 Å, c = 7.629 Å, α = 90.00°, β = 90.00° and γ = 90.00°. The asymmetric unit holds La at (0.000, 0.000, 0.000), Pu at (0.250, 0.250, 0.750) and Rh at (0.125, 0.125, 0.375).

[4]
Below is a geometry-optimized AlSi5Ni structure, with properties calculated at the GGA-PBE level.

The formation energy from raw total energies comes out at 5.43 kcal/mol of atoms. Its density of states at the Fermi level is 2.33 states/eV per cell.

It has space group P4/mmm (No. 123), with a = 3.632 Å, b = 3.632 Å, c = 7.857 Å, α = 90.00°, β = 90.00° and γ = 90.00°. The asymmetric unit holds Al at (0.000, 0.000, 0.000), Si at (0.000, 0.500, 0.250), Si at (0.500, 0.500, 0.500) and Ni at (0.000, 0.000, 0.500).

[5]
Below is a geometry-optimized K2AlSnB structure, with properties calculated at the GGA-PBE level.

Its density of states at the Fermi level is 5.37 states/eV per cell. The calculation puts the formation energy at 116 kJ per mole of atoms.

It has space group P4/mmm (No. 123), with a = 6.647 Å, b = 6.647 Å, c = 4.994 Å, α = 90.00°, β = 90.00° and γ = 90.00°. The asymmetric unit holds K at (0.000, 0.500, 0.000), Al at (0.000, 0.000, 0.000), Sn at (0.000, 0.000, 0.500) and B at (0.500, 0.500, 0.500).

| no. | final energy (eV/atom) |
| --- | --- |
| 1 | -3.00 |
| 2 | -3.29 |
| 3 | -8.68 |
| 4 | -5.00 |
| 5 | -2.12 |